Record 1
Material: Cs2RbScBr6
Method: DFT, SCAN
State: single point on PBEsol structure

Cell: 8.191 8.191 8.191 Å, 60.00 60.00 60.00°
Sites, in units of the cell vectors:
Br1 0.226 0.774 0.774
Br2 0.226 0.774 0.226
Br3 0.774 0.226 0.226
Br4 0.774 0.774 0.226
Br5 0.226 0.226 0.774
Br6 0.774 0.226 0.774
Rb1 0.500 0.500 0.500
Cs1 0.750 0.750 0.750
Cs2 0.250 0.250 0.250
Sc1 0.000 0.000 0.000

Values from the calculation:
* electronic total energy: -247.24 eV per cell
* formation energy (no corrections): -1.99 eV per atom
* calculated volume: 38.86 Å³ per atom

***

Record 2
Material: Ti2BeTlAg
Method: DFT, SCAN
State: single point on PBEsol structure

Cell: 4.837 4.837 4.987 Å, 90.00 90.00 90.00°
Sites, in units of the cell vectors:
Ag1 0.000 0.000 0.000
Ti1 0.500 0.000 0.000
Ti2 0.000 0.500 0.000
Be1 0.500 0.500 0.500
Tl1 0.000 0.000 0.500

Values from the calculation:
* electronic total energy: -133.32 eV per cell
* energy of formation: 1364 meV per atom
* calculated volume: 23.33 Å³ per atom

***

Record 3
Material: YAl2Co
Method: DFT, SCAN
State: single point on PBEsol structure

Cell: 4.000 5.309 6.977 Å, 90.00 90.00 112.13°
Sites, in units of the cell vectors:
Al1 0.660 0.320 0.944
Al2 0.660 0.320 0.556
Al3 0.340 0.680 0.056
Al4 0.340 0.680 0.444
Y1 0.940 0.880 0.750
Y2 0.060 0.120 0.250
Co1 0.216 0.432 0.750
Co2 0.784 0.568 0.250

Values from the calculation:
* electronic total energy: -125.56 eV per cell
* energy of formation: -533 meV per atom
* calculated volume: 17.16 Å³ per atom

***

Record 4
Material: GeP2N
Method: DFT, SCAN
State: single point on PBEsol structure

Cell: 4.169 4.169 4.169 Å, 60.00 60.00 60.00°
Sites, in units of the cell vectors:
Ge1 0.500 0.500 0.500
P1 0.750 0.750 0.750
P2 0.250 0.250 0.250
N1 0.000 0.000 0.000

Values from the calculation:
* electronic total energy: -43.12 eV per cell
* formation energy (no corrections): 1.51 eV per atom
* calculated volume: 12.81 Å³ per atom

***

Record 5
Material: LiVOF2
Method: DFT, SCAN
State: single point on PBEsol structure

Cell: 5.218 6.464 6.452 Å, 83.87 82.65 83.79°
Sites, in units of the cell vectors:
F1 0.609 0.135 0.648
F2 0.881 0.350 0.865
F3 0.644 0.466 0.292
F4 0.861 0.711 0.533
F5 0.356 0.534 0.708
F6 0.391 0.865 0.352
F7 0.139 0.289 0.467
F8 0.119 0.650 0.135
V1 0.257 0.938 0.066
V2 0.755 0.750 0.249
V3 0.743 0.062 0.934
V4 0.245 0.250 0.751
O1 0.392 0.203 0.020
O2 0.608 0.797 0.980
O3 0.897 0.019 0.193
O4 0.103 0.981 0.807
Li1 0.823 0.223 0.400
Li2 0.326 0.406 0.227
Li3 0.177 0.777 0.600
Li4 0.674 0.594 0.773

Values from the calculation:
* electronic total energy: -192.58 eV per cell
* formation energy (no corrections): -2.99 eV per atom
* calculated volume: 10.68 Å³ per atom

***

Record 6
Material: Cs3B12H12I
Method: DFT, SCAN
State: single point on PBEsol structure

Cell: 7.213 7.213 7.213 Å, 93.44 93.44 93.44°
Sites, in units of the cell vectors:
B1 0.058 0.227 0.058
B2 0.882 0.155 0.882
B3 0.155 0.882 0.882
B4 0.118 0.118 0.845
B5 0.118 0.845 0.118
B6 0.882 0.882 0.155
B7 0.058 0.058 0.227
B8 0.773 0.942 0.942
B9 0.845 0.118 0.118
B10 0.942 0.773 0.942
B11 0.227 0.058 0.058
B12 0.942 0.942 0.773
H1 0.796 0.266 0.796
H2 0.901 0.610 0.901
H3 0.734 0.204 0.204
H4 0.099 0.099 0.390
H5 0.266 0.796 0.796
H6 0.204 0.734 0.204
H7 0.390 0.099 0.099
H8 0.901 0.901 0.610
H9 0.204 0.204 0.734
H10 0.099 0.390 0.099
H11 0.610 0.901 0.901
H12 0.796 0.796 0.266
Cs1 0.500 0.000 0.500
Cs2 0.000 0.500 0.500
Cs3 0.500 0.500 0.000
I1 0.500 0.500 0.500

Values from the calculation:
* electronic total energy: -295.81 eV per cell
* calculated volume: 13.33 Å³ per atom

***

Record 7
Material: LaSe2Br
Method: DFT, SCAN
State: single point on PBEsol structure

Cell: 4.328 4.328 5.893 Å, 111.55 111.55 90.00°
Sites, in units of the cell vectors:
Se1 0.000 0.000 0.000
Se2 0.750 0.250 0.500
La1 0.250 0.750 0.500
Br1 0.500 0.500 0.000

Values from the calculation:
* electronic total energy: -107.26 eV per cell
* formation energy (no corrections): -1.14 eV per atom
* calculated volume: 23.59 Å³ per atom

***

Record 8
Material: LiYCl2
Method: DFT, SCAN
State: single point on PBEsol structure

Cell: 4.718 4.718 4.718 Å, 60.00 60.00 60.00°
Sites, in units of the cell vectors:
Li1 0.000 0.000 0.000
Cl1 0.250 0.250 0.250
Cl2 0.750 0.750 0.750
Y1 0.500 0.500 0.500

Values from the calculation:
* electronic total energy: -51.26 eV per cell
* formation energy (no corrections): -1.27 eV per atom
* calculated volume: 18.56 Å³ per atom

***

Record 9
Material: BaAs2W
Method: DFT, SCAN
State: single point on PBEsol structure

Cell: 4.914 4.914 4.914 Å, 60.00 60.00 60.00°
Sites, in units of the cell vectors:
Ba1 0.500 0.500 0.500
W1 0.250 0.250 0.250
As1 0.000 0.000 0.000
As2 0.750 0.750 0.750

Values from the calculation:
* electronic total energy: -145.34 eV per cell
* energy of formation: 1070 meV per atom
* calculated volume: 20.97 Å³ per atom

***

Record 10
Material: Re3SnAu
Method: DFT, SCAN
State: single point on PBEsol structure

Cell: 4.742 4.742 4.742 Å, 90.00 90.00 90.00°
Sites, in units of the cell vectors:
Re1 0.500 0.000 0.000
Re2 0.000 0.500 0.000
Re3 0.000 0.000 0.500
Sn1 0.000 0.000 0.000
Au1 0.500 0.500 0.500

Values from the calculation:
* electronic total energy: -302.74 eV per cell
* energy of formation: 3126 meV per atom
* calculated volume: 21.33 Å³ per atom

***

Record 11
Material: MoAsH3
Method: DFT, SCAN
State: single point on PBEsol structure

Cell: 3.487 3.487 3.487 Å, 90.00 90.00 90.00°
Sites, in units of the cell vectors:
H1 0.000 0.500 0.000
H2 0.500 0.000 0.000
H3 0.000 0.000 0.500
Mo1 0.500 0.500 0.500
As1 0.000 0.000 0.000

Values from the calculation:
* electronic total energy: -59.31 eV per cell
* calculated volume: 8.48 Å³ per atom

***

Record 12
Material: Te2AuCl
Method: DFT, SCAN
State: single point on PBEsol structure

Cell: 4.051 6.255 8.633 Å, 90.00 90.00 108.89°
Sites, in units of the cell vectors:
Cl1 0.838 0.677 0.250
Cl2 0.162 0.323 0.750
Te1 0.613 0.225 0.049
Te2 0.387 0.775 0.549
Te3 0.613 0.225 0.451
Te4 0.387 0.775 0.951
Au1 0.911 0.821 0.750
Au2 0.089 0.179 0.250

Values from the calculation:
* electronic total energy: -306.13 eV per cell
* formation energy (no corrections): -0.36 eV per atom
* calculated volume: 25.87 Å³ per atom

***

Record 13
Material: KTeAs2
Method: DFT, SCAN
State: single point on PBEsol structure

Cell: 3.054 5.738 6.349 Å, 116.85 103.89 90.05°
Sites, in units of the cell vectors:
As1 0.500 0.500 0.500
As2 0.000 0.000 0.500
K1 0.000 0.000 0.000
Te1 0.500 0.500 0.000

Values from the calculation:
* electronic total energy: -85.49 eV per cell
* formation energy (no corrections): 0.12 eV per atom
* calculated volume: 23.89 Å³ per atom

***

Record 14
Material: AgPtAuSe2
Method: DFT, SCAN
State: single point on PBEsol structure

Cell: 4.865 4.865 4.952 Å, 90.00 90.00 90.00°
Sites, in units of the cell vectors:
Ag1 0.000 0.000 0.500
Au1 0.000 0.000 0.000
Se1 0.000 0.500 0.000
Se2 0.500 0.000 0.000
Pt1 0.500 0.500 0.500

Values from the calculation:
* electronic total energy: -205.61 eV per cell
* formation energy (no corrections): 1.05 eV per atom
* calculated volume: 23.44 Å³ per atom

***

Record 15
Material: BaLiMg
Method: DFT, SCAN
State: single point on PBEsol structure

Cell: 3.873 5.494 5.494 Å, 120.00 90.00 90.00°
Sites, in units of the cell vectors:
Mg1 0.501 0.667 0.333
Li1 0.499 0.333 0.667
Ba1 0.000 0.000 0.000

Values from the calculation:
* electronic total energy: -46.81 eV per cell
* energy of formation: 35 meV per atom
* calculated volume: 33.75 Å³ per atom

***

Record 16
Material: La2Ag
Method: DFT, SCAN
State: single point on PBEsol structure

Cell: 3.692 5.556 8.612 Å, 90.00 102.38 90.00°
Sites, in units of the cell vectors:
Ag1 0.425 0.250 0.851
Ag2 0.575 0.750 0.149
La1 0.227 0.750 0.453
La2 0.773 0.250 0.547
La3 0.081 0.250 0.161
La4 0.919 0.750 0.839

Values from the calculation:
* electronic total energy: -236.23 eV per cell
* energy of formation: -178 meV per atom
* calculated volume: 28.76 Å³ per atom

***

Record 17
Material: RbCo3Tc
Method: DFT, SCAN
State: single point on PBEsol structure

Cell: 4.519 4.519 4.519 Å, 90.00 90.00 90.00°
Sites, in units of the cell vectors:
Co1 0.500 0.000 0.000
Co2 0.000 0.000 0.500
Co3 0.000 0.500 0.000
Rb1 0.500 0.500 0.500
Tc1 0.000 0.000 0.000

Values from the calculation:
* electronic total energy: -100.61 eV per cell
* energy of formation: 1420 meV per atom
* calculated volume: 18.46 Å³ per atom

***

Record 18
Material: TlIn2Hg
Method: DFT, SCAN
State: single point on PBEsol structure

Cell: 3.184 3.184 10.793 Å, 90.00 90.00 110.57°
Sites, in units of the cell vectors:
In1 0.500 0.500 0.755
In2 0.000 0.000 0.008
Tl1 0.000 0.000 0.493
Hg1 0.500 0.500 0.244

Values from the calculation:
* electronic total energy: -207.07 eV per cell
* energy of formation: 58 meV per atom
* calculated volume: 25.61 Å³ per atom

***

Record 19
Material: Rb2BiS
Method: DFT, SCAN
State: single point on PBEsol structure

Cell: 5.537 8.571 8.571 Å, 84.01 71.15 71.15°
Sites, in units of the cell vectors:
Bi1 0.000 0.000 0.000
Bi2 0.750 0.500 0.500
Rb1 0.274 0.851 0.351
Rb2 0.476 0.149 0.649
Rb3 0.375 0.351 0.149
Rb4 0.875 0.649 0.851
S1 0.500 0.000 0.000
S2 0.250 0.500 0.500

Values from the calculation:
* electronic total energy: -263.21 eV per cell
* formation energy (no corrections): -0.48 eV per atom
* calculated volume: 45.54 Å³ per atom

***

Record 20
Material: Li2ZrN2
Method: DFT, SCAN
State: single point on PBEsol structure

Cell: 3.259 3.259 5.417 Å, 90.00 90.00 120.00°
Sites, in units of the cell vectors:
Li1 0.333 0.667 0.617
Li2 0.667 0.333 0.383
N1 0.333 0.667 0.223
N2 0.667 0.333 0.777
Zr1 0.000 0.000 0.000

Values from the calculation:
* electronic total energy: -60.86 eV per cell
* formation energy (no corrections): -1.36 eV per atom
* calculated volume: 9.96 Å³ per atom

***

Record 21
Material: CoAs2W
Method: DFT, SCAN
State: single point on PBEsol structure

Cell: 3.235 3.318 5.912 Å, 106.30 105.88 90.00°
Sites, in units of the cell vectors:
As1 0.801 0.301 0.603
As2 0.029 0.029 0.058
Co1 0.468 0.468 0.935
W1 0.202 0.702 0.404

Values from the calculation:
* electronic total energy: -126.65 eV per cell
* energy of formation: 181 meV per atom
* calculated volume: 14.60 Å³ per atom

***

Record 22
Material: Al3CoI
Method: DFT, SCAN
State: single point on PBEsol structure

Cell: 4.646 4.646 4.646 Å, 90.00 90.00 90.00°
Sites, in units of the cell vectors:
Al1 0.500 0.000 0.000
Al2 0.000 0.000 0.500
Al3 0.000 0.500 0.000
I1 0.500 0.500 0.500
Co1 0.000 0.000 0.000

Values from the calculation:
* electronic total energy: -76.72 eV per cell
* formation energy (no corrections): 0.12 eV per atom
* calculated volume: 20.05 Å³ per atom

***

Record 23
Material: ScCr2Mo
Method: DFT, SCAN
State: single point on PBEsol structure

Cell: 3.058 4.455 4.988 Å, 116.52 107.85 90.00°
Sites, in units of the cell vectors:
Cr1 0.765 0.765 0.530
Cr2 0.235 0.235 0.470
Mo1 0.500 0.000 0.000
Sc1 0.000 0.500 0.000

Values from the calculation:
* electronic total energy: -84.38 eV per cell
* energy of formation: 377 meV per atom
* calculated volume: 14.28 Å³ per atom

***

Record 24
Material: ZrBeGa2Ru
Method: DFT, SCAN
State: single point on PBEsol structure

Cell: 4.088 4.088 4.631 Å, 90.00 90.00 90.00°
Sites, in units of the cell vectors:
Ga1 0.000 0.500 0.000
Ga2 0.500 0.000 0.000
Be1 0.000 0.000 0.000
Zr1 0.000 0.000 0.500
Ru1 0.500 0.500 0.500

Values from the calculation:
* electronic total energy: -100.82 eV per cell
* energy of formation: 351 meV per atom
* calculated volume: 15.48 Å³ per atom

***

Record 25
Material: TiCd3Ga
Method: DFT, SCAN
State: single point on PBEsol structure

Cell: 5.270 5.270 5.270 Å, 90.00 90.00 90.00°
Sites, in units of the cell vectors:
Cd1 0.000 0.500 0.000
Cd2 0.500 0.000 0.000
Cd3 0.000 0.000 0.500
Ti1 0.000 0.000 0.000
Ga1 0.500 0.500 0.500

Values from the calculation:
* electronic total energy: -119.49 eV per cell
* energy of formation: 826 meV per atom
* calculated volume: 29.27 Å³ per atom